No. 1
{"formula": "Nb6OsRu3", "functional": "GGA-PBE", "state": "relaxed", "cell": [[6.469, 0.109, 0.077], [3.190, 5.974, 0.348], [3.190, 2.325, 5.514]], "species": ["Nb", "Nb", "Nb", "Nb", "Nb", "Nb", "Ru", "Ru", "Ru", "Os"], "fractional_positions": [[0.351, 0.148, 0.647], [0.870, 0.250, 0.250], [0.351, 0.647, 0.148], [0.649, 0.353, 0.852], [0.130, 0.750, 0.750], [0.649, 0.852, 0.353], [0.000, 0.000, 0.000], [0.271, 0.252, 0.252], [0.729, 0.748, 0.748], [0.500, 0.500, 0.500]], "relative_energy_mev_per_atom": 758}

---

No. 2
{"formula": "PrGe2Au", "functional": "GGA-PBE", "state": "relaxed", "cell": [[-0.359, 4.463, 0.703], [-3.796, -1.548, 7.888], [9.960, -1.421, -0.495]], "species": ["Ge", "Ge", "Ge", "Ge", "Ge", "Ge", "Ge", "Ge", "Pr", "Pr", "Pr", "Pr", "Au", "Au", "Au", "Au"], "fractional_positions": [[0.071, 0.571, 0.142], [0.696, 0.341, 0.391], [0.304, 0.659, 0.609], [0.070, 0.070, 0.139], [0.696, 0.051, 0.391], [0.930, 0.930, 0.861], [0.304, 0.949, 0.609], [0.929, 0.429, 0.858], [0.698, 0.698, 0.396], [0.500, 0.251, 0.000], [0.500, 0.749, 0.000], [0.302, 0.302, 0.604], [0.147, 0.898, 0.295], [0.853, 0.603, 0.705], [0.853, 0.102, 0.705], [0.147, 0.397, 0.295]]}

---

The following spin magnetization values (in μB per formula unit) correspond, in order, to the records above: 0.00, 0.00.
The following E_form values (in meV/atom) correspond, in order, to the records above: 532, -583.
The following D(E_F) values (in states/eV/atom) correspond, in order, to the records above: 1.12, 0.39.